1.
{"formula": "AlHgMo2", "functional": "PBE", "state": "optimized geometry", "mass_density_g_cm3": 9.59, "formation_enthalpy_0k_ev_per_atom": 0.577, "magnetic_moment_mub_per_fu": 0.000, "total_energy_ev_per_cell": -46.79, "lattice_angstrom": [[-1.9102, 1.9102, 9.9571], [1.9102, -1.9102, 9.9571], [1.9102, 1.9102, -9.9571]], "species": ["Al", "Al", "Hg", "Hg", "Mo", "Mo", "Mo", "Mo"], "fractional_positions": [[0.0000, 0.0000, 0.0000], [0.7500, 0.2500, 0.5000], [0.2500, 0.7500, 0.5000], [0.5000, 0.5000, 0.0000], [0.0964, 0.6250, 0.9714], [0.3750, 0.3464, 0.4714], [0.6536, 0.1250, 0.0286], [0.8750, 0.9036, 0.5286]]}


2.
{"formula": "TaMn2Ga", "functional": "PBE", "state": "optimized geometry", "mass_density_g_cm3": 10.94, "formation_enthalpy_0k_ev_per_atom": -0.156, "magnetic_moment_mub_per_fu": 2.041, "total_energy_ev_per_cell": -33.84, "lattice_angstrom": [[3.1056, 0.0000, 0.0000], [0.0000, 3.1056, 0.0000], [0.0000, 0.0000, 5.6722]], "species": ["Ta", "Mn", "Mn", "Ga"], "fractional_positions": [[0.0000, 0.0000, 0.0000], [0.5000, 0.5000, 0.2591], [0.5000, 0.5000, 0.7409], [0.0000, 0.0000, 0.5000]]}


3.
{"formula": "K2TmGeO4", "functional": "PBE", "state": "optimized geometry", "mass_density_g_cm3": 4.11, "magnetic_moment_mub_per_fu": 0.000, "raw_formation_energy_ev_per_atom": -2.0219, "total_energy_ev_per_cell": -47.29, "lattice_angstrom": [[-2.9388, 2.9388, 4.4904], [2.9388, -2.9388, 4.4904], [2.9388, 2.9388, -4.4904]], "species": ["K", "K", "Tm", "Ge", "O", "O", "O", "O"], "fractional_positions": [[0.0000, 0.0000, 0.0000], [0.7500, 0.2500, 0.5000], [0.5000, 0.5000, 0.0000], [0.2500, 0.7500, 0.5000], [0.2374, 0.6353, 0.1416], [0.3647, 0.5062, 0.6020], [0.4938, 0.0958, 0.8584], [0.9042, 0.7626, 0.3980]]}


4.
{"formula": "ReAu2Cl", "functional": "PBE", "state": "optimized geometry", "mass_density_g_cm3": 14.72, "magnetic_moment_mub_per_fu": 0.004, "raw_formation_energy_ev_per_atom": 0.7786, "total_energy_ev_per_cell": -17.74, "lattice_angstrom": [[2.6889, -4.6248, 0.0000], [2.6889, 4.6248, 0.0000], [0.0000, 0.0000, 2.7920]], "species": ["Re", "Au", "Au", "Cl"], "fractional_positions": [[0.0000, 0.0000, 0.0000], [0.0000, 0.5000, 0.5000], [0.5000, 0.0000, 0.5000], [0.5000, 0.5000, 0.0000]]}


What is the formula in the fourth record? ReAu2Cl